Compound: Pr4W6O19
Source: Alexandria via LeMat-Bulk
Functional: PBE with a Hubbard U
Structure: optimized geometry

Unit cell a=8.065 b=8.065 c=8.065 alpha=109.47 beta=109.47 gamma=109.47
Element x y z (fractional)
1 O 0.689 0.051 0.315
2 O 0.000 0.000 0.000
3 O 0.949 0.637 0.264
4 O 0.627 0.363 0.311
5 O 0.000 0.678 0.678
6 O 0.264 0.949 0.637
7 O 0.736 0.373 0.685
8 O 0.678 0.000 0.678
9 O 0.363 0.311 0.627
10 O 0.315 0.689 0.051
11 O 0.685 0.736 0.373
12 O 0.311 0.627 0.363
13 O 0.000 0.322 0.322
14 O 0.322 0.000 0.322
15 O 0.051 0.315 0.689
16 O 0.678 0.678 0.000
17 O 0.637 0.264 0.949
18 O 0.322 0.322 0.000
19 O 0.373 0.685 0.736
20 Pr 0.000 0.703 0.000
21 Pr 0.703 0.000 0.000
22 Pr 0.297 0.297 0.297
23 Pr 0.000 0.000 0.703
24 W 0.639 0.500 0.139
25 W 0.861 0.361 0.500
26 W 0.500 0.139 0.639
27 W 0.500 0.861 0.361
28 W 0.139 0.639 0.500
29 W 0.361 0.500 0.861

Properties
total DFT energy (no corrections) = -7.7647 eV per atom
mass density = 8102 kg/m3
crystal system = cubic
total moment = 0.1379 μB/atom
space-group type = I23 (197)
DOS(E_F) = 3.050 states/eV/cell